1.
Entry from OQMD via LeMat-Bulk: Dy2Er2CBr3Cl2 after structural relaxation (PBE).

a b c (Å): 17.0738 3.7588 8.0577
angles (deg): 90.00 103.27 90.00
Space group C2/m (No. 12)
Unique sites:
Dy1 0.1439 0.0000 0.0735 (multiplicity 4)
Er1 0.0017 0.5000 0.8007 (multiplicity 4)
C1 0.0000 0.0000 0.0000 (multiplicity 2)
Br1 0.0000 0.0000 0.5000 (multiplicity 2)
Br2 0.1680 0.5000 0.3438 (multiplicity 4)
Cl1 0.1695 0.5000 0.8414 (multiplicity 4)

Summary:
Spin magnetization = 0.11 μB/f.u.
Electronic total energy = -5.15 eV per atom

=====

2.
Entry from OQMD via LeMat-Bulk: Dy2Ho2CBr3Cl2 after structural relaxation (PBE).

a b c (Å): 17.1178 3.7642 8.0864
angles (deg): 90.00 103.20 90.00
Space group C2/m (No. 12)
Unique sites:
Dy1 0.1436 0.0000 0.0732 (multiplicity 4)
Ho1 0.0017 0.5000 0.7999 (multiplicity 4)
C1 0.0000 0.0000 0.0000 (multiplicity 2)
Br1 0.0000 0.0000 0.5000 (multiplicity 2)
Br2 0.1683 0.5000 0.3420 (multiplicity 4)
Cl1 0.1703 0.5000 0.8430 (multiplicity 4)

Summary:
Spin magnetization = 0.10 μB/f.u.
Offset from the most stable computed form = 4.4 meV/atom
Electronic total energy = -5.16 eV per atom

=====

3.
Entry from OQMD via LeMat-Bulk: Dy2Ho2CBr3Cl2 after structural relaxation (PBE).

a b c (Å): 17.5187 3.7740 8.0802
angles (deg): 90.00 103.06 90.00
Space group C2/m (No. 12)
Unique sites:
Dy1 0.9996 0.0000 0.2020 (multiplicity 4)
Ho1 0.1393 0.5000 0.0744 (multiplicity 4)
C1 0.0000 0.5000 0.0000 (multiplicity 2)
Br1 0.0000 0.5000 0.5000 (multiplicity 2)
Br2 0.1718 0.0000 0.8302 (multiplicity 4)
Cl1 0.1602 0.0000 0.3196 (multiplicity 4)

Summary:
Spin magnetization = 0.08 μB/f.u.
Offset from the most stable computed form = 0.0 meV/atom
Electronic total energy = -5.17 eV per atom

=====

4.
Entry from OQMD via LeMat-Bulk: Dy2Ho2CBr3Cl2 after structural relaxation (PBE).

a b c (Å): 17.5049 3.7592 8.0296
angles (deg): 90.00 103.46 90.00
Space group C2/m (No. 12)
Unique sites:
Dy1 0.1406 0.0000 0.0768 (multiplicity 4)
Ho1 0.0000 0.5000 0.2019 (multiplicity 4)
C1 0.0000 0.0000 0.0000 (multiplicity 2)
Br1 0.0000 0.0000 0.5000 (multiplicity 2)
Br2 0.1704 0.5000 0.8254 (multiplicity 4)
Cl1 0.1596 0.5000 0.3278 (multiplicity 4)

Summary:
Spin magnetization = 0.17 μB/f.u.
Offset from the most stable computed form = 0.2 meV/atom
Electronic total energy = -5.16 eV per atom

=====

5.
Entry from OQMD via LeMat-Bulk: Dy2Ho2CBr3Cl2 after structural relaxation (PBE).

a b c (Å): 17.1234 3.7749 8.1243
angles (deg): 90.00 103.19 90.00
Space group C2/m (No. 12)
Unique sites:
Dy1 0.0017 0.0000 0.2992 (multiplicity 4)
Ho1 0.1426 0.5000 0.5719 (multiplicity 4)
C1 0.0000 0.5000 0.5000 (multiplicity 2)
Br1 0.0000 0.5000 0.0000 (multiplicity 2)
Br2 0.1693 0.0000 0.8385 (multiplicity 4)
Cl1 0.1714 0.0000 0.3479 (multiplicity 4)

Summary:
Spin magnetization = 0.09 μB/f.u.
Offset from the most stable computed form = 3.5 meV/atom
Electronic total energy = -5.16 eV per atom

=====

6.
Entry from OQMD via LeMat-Bulk: Dy2Ho2CI2Br2Cl after structural relaxation (PBE).

a b c (Å): 18.5351 3.8347 8.0092
angles (deg): 90.00 101.12 90.00
Space group C2/m (No. 12)
Unique sites:
Dy1 0.0022 0.0000 0.2946 (multiplicity 4)
Ho1 0.1306 0.5000 0.5629 (multiplicity 4)
C1 0.0000 0.5000 0.5000 (multiplicity 2)
I1 0.1645 0.0000 0.8561 (multiplicity 4)
Br1 0.1655 0.0000 0.3257 (multiplicity 4)
Cl1 0.0000 0.5000 0.0000 (multiplicity 2)

Summary:
Spin magnetization = 0.01 μB/f.u.
Offset from the most stable computed form = 12.5 meV/atom
Electronic total energy = -4.91 eV per atom

=====

7.
Entry from OQMD via LeMat-Bulk: Dy2Ho2CI2Br2Cl after structural relaxation (PBE).

a b c (Å): 18.5064 3.8232 7.9933
angles (deg): 90.00 101.73 90.00
Space group C2/m (No. 12)
Unique sites:
Dy1 0.1325 0.0000 0.0702 (multiplicity 4)
Ho1 0.0010 0.5000 0.7949 (multiplicity 4)
C1 0.0000 0.0000 0.0000 (multiplicity 2)
I1 0.1710 0.5000 0.8042 (multiplicity 4)
Br1 0.1556 0.5000 0.3399 (multiplicity 4)
Cl1 0.0000 0.0000 0.5000 (multiplicity 2)

Summary:
Spin magnetization = 0.01 μB/f.u.
Offset from the most stable computed form = 2.7 meV/atom
Electronic total energy = -4.92 eV per atom

=====

8.
Entry from OQMD via LeMat-Bulk: Dy2Ho2CI2Br2Cl after structural relaxation (PBE).

a b c (Å): 18.5802 3.8311 8.0034
angles (deg): 90.00 101.64 90.00
Space group C2/m (No. 12)
Unique sites:
Dy1 0.0012 0.0000 0.2939 (multiplicity 4)
Ho1 0.1310 0.5000 0.5689 (multiplicity 4)
C1 0.0000 0.5000 0.5000 (multiplicity 2)
I1 0.1714 0.0000 0.3069 (multiplicity 4)
Br1 0.1560 0.0000 0.8367 (multiplicity 4)
Cl1 0.0000 0.5000 0.0000 (multiplicity 2)

Summary:
Spin magnetization = 0.01 μB/f.u.
Offset from the most stable computed form = 0.0 meV/atom
Electronic total energy = -4.92 eV per atom

=====

9.
Entry from OQMD via LeMat-Bulk: Dy2Ho2CI2Br2Cl after structural relaxation (PBE).

a b c (Å): 18.5265 3.8300 8.0108
angles (deg): 90.00 101.28 90.00
Space group C2/m (No. 12)
Unique sites:
Dy1 0.1313 0.0000 0.0635 (multiplicity 4)
Ho1 0.0022 0.5000 0.7961 (multiplicity 4)
C1 0.0000 0.0000 0.0000 (multiplicity 2)
I1 0.1637 0.5000 0.3587 (multiplicity 4)
Br1 0.1644 0.5000 0.8228 (multiplicity 4)
Cl1 0.0000 0.0000 0.5000 (multiplicity 2)

Summary:
Spin magnetization = 0.00 μB/f.u.
Offset from the most stable computed form = 16.1 meV/atom
Electronic total energy = -4.90 eV per atom

=====

10.
Entry from OQMD via LeMat-Bulk: Dy4CIBr2Cl2 after structural relaxation (PBE).

a b c (Å): 17.6497 3.8329 8.4668
angles (deg): 90.00 103.25 90.00
Space group C2/m (No. 12)
Unique sites:
Dy1 0.0006 0.0000 0.3082 (multiplicity 4)
Dy2 0.1392 0.5000 0.5737 (multiplicity 4)
C1 0.0000 0.5000 0.5000 (multiplicity 2)
I1 0.0000 0.5000 0.0000 (multiplicity 2)
Br1 0.1711 0.0000 0.3408 (multiplicity 4)
Cl1 0.1589 0.0000 0.8074 (multiplicity 4)

Summary:
Spin magnetization = 0.20 μB/f.u.
Electronic total energy = -5.09 eV per atom

=====

11.
Entry from OQMD via LeMat-Bulk: Dy4CIBr2Cl2 after structural relaxation (PBE).

a b c (Å): 17.1246 3.8310 8.5013
angles (deg): 90.00 104.12 90.00
Space group C2/m (No. 12)
Unique sites:
Dy1 0.0009 0.0000 0.3090 (multiplicity 4)
Dy2 0.1438 0.5000 0.5716 (multiplicity 4)
C1 0.0000 0.5000 0.5000 (multiplicity 2)
I1 0.0000 0.5000 0.0000 (multiplicity 2)
Br1 0.1716 0.0000 0.8267 (multiplicity 4)
Cl1 0.1700 0.0000 0.3556 (multiplicity 4)

Summary:
Spin magnetization = 0.26 μB/f.u.
Electronic total energy = -5.09 eV per atom

=====

12.
Entry from OQMD via LeMat-Bulk: Nd2Dy2CIBr2Cl2 after structural relaxation (PBE).

a b c (Å): 17.8720 3.9208 8.8364
angles (deg): 90.00 103.13 90.00
Space group C2/m (No. 12)
Unique sites:
Nd1 0.0010 0.0000 0.1963 (multiplicity 4)
Dy1 0.1378 0.5000 0.0654 (multiplicity 4)
C1 0.0000 0.5000 0.0000 (multiplicity 2)
I1 0.0000 0.5000 0.5000 (multiplicity 2)
Br1 0.1731 0.0000 0.8487 (multiplicity 4)
Cl1 0.1651 0.0000 0.2852 (multiplicity 4)

Summary:
Spin magnetization = 0.01 μB/f.u.
Offset from the most stable computed form = 2.1 meV/atom
Electronic total energy = -5.13 eV per atom

=====

- Which value of spin magnetization does entry 11 give?
  0.26 μB/f.u.

=====

- Which formula does entry 7 have?
  Dy2Ho2CI2Br2Cl